Entry 1:
First-principles (PBE-GGA) data for an optimized crystal structure of Mg4ZnCd, as listed in the Alexandria database.

Output
- electronic total energy (eV/cell) = -17.72
- D(E_F) (states/eV/cell) = 4.2
- E_form (eV per atom) = -0.049
- energy above the most stable polymorph in this dataset (meV/atom) = 0.0
- crystal system = monoclinic

a b c (Å): 7.3281 7.3281 5.6065
angles (deg): 100.97 100.97 113.68
Atoms (fractional coordinates):
Mg (0.0756, 0.7110, 0.9417)
Mg (0.1984, 0.3866, 0.6406)
Mg (0.2890, 0.9244, 0.5583)
Mg (0.3866, 0.1984, 0.1406)
Mg (0.6134, 0.8016, 0.8594)
Mg (0.7110, 0.0756, 0.4417)
Mg (0.8016, 0.6134, 0.3594)
Mg (0.9244, 0.2890, 0.0583)
Zn (0.9999, 0.0001, 0.2500)
Zn (0.0001, 0.9999, 0.7500)
Cd (0.3855, 0.6145, 0.2500)
Cd (0.6145, 0.3855, 0.7500)

Entry 2:
First-principles (PBE-GGA) data for an optimized crystal structure of Mg4Zn3Cd2, as listed in the Alexandria database.

Output
- electronic total energy (eV/cell) = -12.47
- D(E_F) (states/eV/cell) = 2.6
- E_form (eV per atom) = -0.049
- crystal system = monoclinic

a b c (Å): 5.0759 5.0759 9.1429
angles (deg): 105.06 105.06 51.00
Atoms (fractional coordinates):
Mg (0.0281, 0.0281, 0.3411)
Mg (0.3470, 0.3470, 0.1062)
Mg (0.6530, 0.6530, 0.8938)
Mg (0.9719, 0.9719, 0.6589)
Zn (0.0000, 0.0000, 0.0000)
Zn (0.3519, 0.3519, 0.4417)
Zn (0.6481, 0.6481, 0.5583)
Cd (0.3075, 0.3075, 0.7604)
Cd (0.6925, 0.6925, 0.2396)

Entry 3:
First-principles (PBE-GGA) data for an optimized crystal structure of MgZn17Cd, as listed in the Alexandria database.

Output
- electronic total energy (eV/cell) = -23.66
- D(E_F) (states/eV/cell) = 4.6
- E_form (eV per atom) = 0.027
- crystal system = trigonal

a b c (Å): 6.8218 6.8218 6.8218
angles (deg): 82.59 82.59 82.59
Atoms (fractional coordinates):
Mg (0.0000, 0.0000, 0.0000)
Zn (0.0087, 0.0087, 0.5119)
Zn (0.0087, 0.5119, 0.0087)
Zn (0.1691, 0.6688, 0.6688)
Zn (0.3174, 0.3174, 0.8217)
Zn (0.3174, 0.8217, 0.3174)
Zn (0.3573, 0.6640, 0.9803)
Zn (0.3573, 0.9803, 0.6640)
Zn (0.5119, 0.0087, 0.0087)
Zn (0.5621, 0.5621, 0.5621)
Zn (0.6640, 0.3573, 0.9803)
Zn (0.6640, 0.9803, 0.3573)
Zn (0.6688, 0.1691, 0.6688)
Zn (0.6688, 0.6688, 0.1691)
Zn (0.7667, 0.7667, 0.7667)
Zn (0.8217, 0.3174, 0.3174)
Zn (0.9803, 0.3573, 0.6640)
Zn (0.9803, 0.6640, 0.3573)
Cd (0.2694, 0.2694, 0.2694)

Entry 4:
First-principles (PBE-GGA) data for an optimized crystal structure of Mg2ZnCd, as listed in the Alexandria database.

Output
- electronic total energy (eV/cell) = -5.51
- D(E_F) (states/eV/cell) = 1.5
- E_form (eV per atom) = -0.032
- energy above the most stable polymorph in this dataset (meV/atom) = 56.0
- crystal system = monoclinic

a b c (Å): 5.0586 5.0586 5.3996
angles (deg): 100.23 100.23 37.28
Atoms (fractional coordinates):
Mg (0.2449, 0.2449, 0.2403)
Mg (0.7551, 0.7551, 0.7597)
Zn (0.5000, 0.5000, 0.0000)
Cd (0.0000, 0.0000, 0.5000)